Record 1
Below is a relaxed Ce5PdRu2 crystal, with properties calculated at the GGA-PBE level.

Properties
* total energy: -55.41 eV/f.u.
* space-group type: No. 1
* calculated formation energy: -0.25 eV/atom

Geometry as POSCAR:
```
Ce5PdRu2
1.0
6.0819 0.0000 0.0000
-2.0472 5.7742 0.0000
-2.0845 -2.7931 5.0397
Ce Pd Ru
5 1 2
direct
0.0000 0.0000 0.0000 Ce
0.0060 0.5204 0.4843 Ce
0.4940 0.5059 0.9735 Ce
0.5468 0.0354 0.5016 Ce
0.5731 0.5269 0.5554 Ce
0.4973 0.0169 0.9815 Pd
0.1081 0.5273 0.0943 Ru
0.9970 0.0108 0.4561 Ru
```



Record 2
Below is a relaxed Ce6PdRu2 crystal, with properties calculated at the GGA-PBE level.

Properties
* total energy: -62.68 eV/f.u.
* space-group type: No. 12
* calculated formation energy: -0.37 eV/atom

Geometry as POSCAR:
```
Ce6PdRu2
1.0
5.1016 -2.4159 0.0000
5.1016 2.4159 0.0000
-1.3460 0.0000 8.4150
Ce Pd Ru
6 1 2
direct
0.0489 0.0489 0.3523 Ce
0.3143 0.3143 0.9101 Ce
0.3871 0.3871 0.3193 Ce
0.6129 0.6129 0.6807 Ce
0.6857 0.6857 0.0899 Ce
0.9511 0.9511 0.6477 Ce
0.0000 0.0000 0.0000 Pd
0.2743 0.2743 0.6228 Ru
0.7257 0.7257 0.3772 Ru
```



Record 3
Below is a relaxed Ce8Pd2Ru3 crystal, with properties calculated at the GGA-PBE level.

Properties
* total energy: -88.88 eV/f.u.
* space-group type: No. 12
* calculated formation energy: -0.25 eV/atom

Geometry as POSCAR:
```
Ce8Pd2Ru3
1.0
7.4620 -3.5414 0.0000
7.4620 3.5414 0.0000
-1.3235 0.0000 6.3832
Ce Pd Ru
8 2 3
direct
0.0817 0.0817 0.3554 Ce
0.1291 0.6349 0.1312 Ce
0.3394 0.3394 0.6417 Ce
0.3651 0.8709 0.8688 Ce
0.6349 0.1291 0.1312 Ce
0.6606 0.6606 0.3583 Ce
0.8709 0.3651 0.8688 Ce
0.9183 0.9183 0.6446 Ce
0.2387 0.2387 0.1924 Pd
0.7613 0.7613 0.8076 Pd
0.3018 0.6982 0.5000 Ru
0.5000 0.5000 0.0000 Ru
0.6982 0.3018 0.5000 Ru
```



Record 4
Below is a relaxed CePd2Ru crystal, with properties calculated at the GGA-PBE level.

Properties
* total energy: -27.54 eV/f.u.
* space-group type: No. 123
* calculated formation energy: -0.49 eV/atom

Geometry as POSCAR:
```
CePd2Ru
1.0
4.0487 0.0000 0.0000
0.0000 4.0487 0.0000
0.0000 0.0000 4.2582
Ce Pd Ru
1 2 1
direct
0.0000 0.0000 0.0000 Ce
0.0000 0.5000 0.5000 Pd
0.5000 0.0000 0.5000 Pd
0.5000 0.5000 0.0000 Ru
```